Entry from Alexandria via LeMat-Bulk: a geometry-optimized Sb2P3O12 structure (PBE-GGA).

Values from the calculation:
Uncorrected energy ... -114.94 eV/f.u.
Total magnetization ... 0.911 μB/f.u.
E_form (uncorrected) ... -42.0 kcal/mol of atoms
Crystal system ... trigonal
Energy relative to the lowest polymorph listed for this composition ... 0.000 eV per atom

The structure in POSCAR format:
```
Sb2P3O12
1.0
4.2403 2.4482 7.7203
-4.2403 2.4482 7.7203
0.0000 -4.8963 7.7203
Sb P O
4 6 24
Direct
0.1424 0.1424 0.1424
0.3463 0.3463 0.3463
0.6537 0.6537 0.6537
0.8576 0.8576 0.8576
0.0455 0.7439 0.4562
0.2561 0.5438 0.9545
0.4562 0.0455 0.7439
0.5438 0.9545 0.2561
0.7439 0.4562 0.0455
0.9545 0.2561 0.5438
0.0340 0.7797 0.6076
0.1242 0.7476 0.8730
0.1270 0.8758 0.2524
0.1568 0.2172 0.5191
0.1773 0.5304 0.4803
0.2172 0.5191 0.1568
0.2203 0.3924 0.9660
0.2524 0.1270 0.8758
0.3924 0.9660 0.2203
0.4696 0.5197 0.8227
0.4803 0.1773 0.5304
0.4809 0.8432 0.7828
0.5191 0.1568 0.2172
0.5197 0.8227 0.4696
0.5304 0.4803 0.1773
0.6076 0.0340 0.7797
0.7476 0.8730 0.1242
0.7797 0.6076 0.0340
0.7828 0.4809 0.8432
0.8227 0.4696 0.5197
0.8432 0.7828 0.4809
0.8730 0.1242 0.7476
0.8758 0.2524 0.1270
0.9660 0.2203 0.3924
```